Entry 1:
# Ho3Si4Ir2, relaxed, DFT PBE-GGA
data_Ho3Si4Ir2
_chemical_formula_sum 'Ho6 Si8 Ir4'
_space_group_name_H-M_alt 'C 1 2/m 1'
_space_group_IT_number 12
_space_group_name_Hall '-C 2y'
_cell_length_a 10.638
_cell_length_b 4.151
_cell_length_c 7.976
_cell_angle_alpha 90.00
_cell_angle_beta 108.27
_cell_angle_gamma 90.00
loop_
_atom_site_label
_atom_site_fract_x
_atom_site_fract_y
_atom_site_fract_z
Ho1 0.000 0.000 0.000
Ho2 0.118 0.500 0.700
Si1 0.093 0.000 0.406
Si2 0.219 0.500 0.075
Ir1 0.188 0.500 0.362
# mass density	9846	kg/m3
# total magnetic moment	0.00	μB per cell
# distance to the lowest polymorph of the same formula	0	kJ/mol of formula units
# raw formation energy	-942	meV/atom

Entry 2:
# POsBr2, relaxed, DFT PBE-GGA
data_POsBr2
_chemical_formula_sum 'P4 Os4 Br8'
_space_group_name_H-M_alt 'F m m m'
_space_group_IT_number 69
_space_group_name_Hall '-F 2 2'
_cell_length_a 5.126
_cell_length_b 6.565
_cell_length_c 9.010
_cell_angle_alpha 90.00
_cell_angle_beta 90.00
_cell_angle_gamma 90.00
loop_
_atom_site_label
_atom_site_fract_x
_atom_site_fract_y
_atom_site_fract_z
P1 0.000 0.000 0.000
Os1 0.000 0.000 0.500
Br1 0.000 0.250 0.250
# mass density	8346	kg/m3
# total magnetic moment	0.00	μB per cell
# distance to the lowest polymorph of the same formula	482	kJ/mol of formula units
# raw formation energy	1186	meV/atom

Entry 3:
# ScBeGe, relaxed, DFT PBE-GGA
data_ScBeGe
_chemical_formula_sum 'Sc2 Be2 Ge2'
_space_group_name_H-M_alt 'I 4 m m'
_space_group_IT_number 107
_space_group_name_Hall 'I 4 -2'
_cell_length_a 3.719
_cell_length_b 3.719
_cell_length_c 7.532
_cell_angle_alpha 90.00
_cell_angle_beta 90.00
_cell_angle_gamma 90.00
loop_
_atom_site_label
_atom_site_fract_x
_atom_site_fract_y
_atom_site_fract_z
Sc1 0.000 0.000 0.000
Be1 0.000 0.000 0.646
Ge1 0.000 0.000 0.353
# mass density	4035	kg/m3
# total magnetic moment	0.00	μB per cell
# energy of formation	55	meV/atom

Entry 4:
# CaAl4Pt4, relaxed, DFT PBE-GGA
data_CaAl4Pt4
_chemical_formula_sum 'Ca2 Al8 Pt8'
_space_group_name_H-M_alt 'P 42/n m c'
_space_group_IT_number 137
_cell_length_a 6.415
_cell_length_b 6.415
_cell_length_c 8.084
_cell_angle_alpha 90.00
_cell_angle_beta 90.00
_cell_angle_gamma 90.00
loop_
_space_group_symop_operation_xyz
'x,y,z'
'-x,-y,-z'
'-y+1/2,x,z+1/2'
'y+1/2,-x,-z+1/2'
'-x+1/2,-y+1/2,z'
'x+1/2,y+1/2,-z'
'y,-x+1/2,z+1/2'
'-y,x+1/2,-z+1/2'
'x+1/2,-y,-z'
'-x+1/2,y,z'
'-y,-x,-z+1/2'
'y,x,z+1/2'
'-x,y+1/2,-z'
'x,-y+1/2,z'
'y+1/2,x+1/2,-z+1/2'
'-y+1/2,-x+1/2,z+1/2'
loop_
_atom_site_label
_atom_site_fract_x
_atom_site_fract_y
_atom_site_fract_z
Ca1 0.250 0.750 0.250
Al1 0.002 0.750 0.634
Pt1 0.039 0.250 0.055
# mass density	9268	kg/m3
# total magnetic moment	0.00	μB per cell
# energy of formation	-899	meV/atom

Entry 5:
# Zr2CrW, relaxed, DFT PBE-GGA
data_Zr2CrW
_chemical_formula_sum 'Zr2 Cr1 W1'
_space_group_name_H-M_alt 'P 1 2/m 1'
_space_group_IT_number 10
_space_group_name_Hall '-P 2y'
_cell_length_a 2.935
_cell_length_b 4.477
_cell_length_c 5.501
_cell_angle_alpha 90.00
_cell_angle_beta 99.01
_cell_angle_gamma 90.00
loop_
_atom_site_label
_atom_site_fract_x
_atom_site_fract_y
_atom_site_fract_z
Zr1 0.237 0.000 0.256
Cr1 0.000 0.500 0.500
W1 0.500 0.500 0.000
# mass density	9730	kg/m3
# total magnetic moment	0.00	μB per cell
# distance to the lowest polymorph of the same formula	86	kJ/mol of formula units
# energy of formation	342	meV/atom

Entry 6:
# Pm4NdTe2, relaxed, DFT PBE-GGA
data_Pm4NdTe2
_chemical_formula_sum 'Pm8 Nd2 Te4'
_space_group_name_H-M_alt 'I 4/m m m'
_space_group_IT_number 139
_space_group_name_Hall '-I 4 2'
_cell_length_a 5.647
_cell_length_b 5.647
_cell_length_c 16.098
_cell_angle_alpha 90.00
_cell_angle_beta 90.00
_cell_angle_gamma 90.00
loop_
_atom_site_label
_atom_site_fract_x
_atom_site_fract_y
_atom_site_fract_z
Pm1 0.000 0.000 0.190
Pm2 0.000 0.500 0.000
Nd1 0.000 0.000 0.000
Te1 0.000 0.000 0.377
# mass density	6336	kg/m3
# total magnetic moment	1.28	μB per cell
# raw formation energy	45	meV/atom

Entry 7:
# Cu2TeRh, relaxed, DFT PBE-GGA
data_Cu2TeRh
_chemical_formula_sum 'Cu2 Te1 Rh1'
_space_group_name_H-M_alt 'P 1 2/m 1'
_space_group_IT_number 10
_space_group_name_Hall '-P 2y'
_cell_length_a 3.897
_cell_length_b 3.859
_cell_length_c 4.101
_cell_angle_alpha 90.00
_cell_angle_beta 90.31
_cell_angle_gamma 90.00
loop_
_atom_site_label
_atom_site_fract_x
_atom_site_fract_y
_atom_site_fract_z
Cu1 0.000 0.000 0.000
Cu2 0.500 0.500 0.000
Te1 0.000 0.500 0.500
Rh1 0.500 0.000 0.500
# mass density	9629	kg/m3
# total magnetic moment	0.00	μB per cell
# raw formation energy	81	meV/atom

Entry 8:
# Ca2DyAu6, relaxed, DFT PBE-GGA
data_Ca2DyAu6
_chemical_formula_sum 'Ca4 Dy2 Au12'
_space_group_name_H-M_alt 'C 1 2/m 1'
_space_group_IT_number 12
_space_group_name_Hall '-C 2y'
_cell_length_a 5.303
_cell_length_b 16.005
_cell_length_c 5.289
_cell_angle_alpha 90.00
_cell_angle_beta 119.59
_cell_angle_gamma 90.00
loop_
_atom_site_label
_atom_site_fract_x
_atom_site_fract_y
_atom_site_fract_z
Ca1 0.000 0.167 0.000
Dy1 0.000 0.500 0.500
Au1 0.158 0.000 0.830
Au2 0.168 0.336 0.340
# mass density	12118	kg/m3
# total magnetic moment	0.00	μB per cell
# energy of formation	-691	meV/atom

Entry 9:
# GdMnPt2, relaxed, DFT PBE-GGA
data_GdMnPt2
_chemical_formula_sum 'Gd4 Mn4 Pt8'
_space_group_name_H-M_alt 'F m -3 m'
_space_group_IT_number 225
_space_group_name_Hall '-F 4 2 3'
_cell_length_a 6.708
_cell_length_b 6.708
_cell_length_c 6.708
_cell_angle_alpha 90.00
_cell_angle_beta 90.00
_cell_angle_gamma 90.00
loop_
_atom_site_label
_atom_site_fract_x
_atom_site_fract_y
_atom_site_fract_z
Gd1 0.000 0.000 0.000
Mn1 0.000 0.000 0.500
Pt1 0.250 0.250 0.250
# mass density	13253	kg/m3
# total magnetic moment	47.09	μB per cell
# distance to the lowest polymorph of the same formula	12	kJ/mol of formula units
# energy of formation	-673	meV/atom

Entry 10:
# Ce3Si2Sn2, relaxed, DFT PBE-GGA
data_Ce3Si2Sn2
_chemical_formula_sum 'Ce6 Si4 Sn4'
_space_group_name_H-M_alt 'C 1 2/m 1'
_space_group_IT_number 12
_space_group_name_Hall '-C 2y'
_cell_length_a 11.397
_cell_length_b 4.199
_cell_length_c 8.245
_cell_angle_alpha 90.00
_cell_angle_beta 115.71
_cell_angle_gamma 90.00
loop_
_atom_site_label
_atom_site_fract_x
_atom_site_fract_y
_atom_site_fract_z
Ce1 0.000 0.000 0.000
Ce2 0.182 0.000 0.657
Si1 0.201 0.500 0.935
Sn1 0.042 0.500 0.330
# mass density	6671	kg/m3
# total magnetic moment	3.64	μB per cell
# raw formation energy	-591	meV/atom

Entry 11:
# FeSeCl3, relaxed, DFT PBE-GGA
data_FeSeCl3
_chemical_formula_sum 'Fe1 Se1 Cl3'
_space_group_name_H-M_alt 'P m -3 m'
_space_group_IT_number 221
_space_group_name_Hall '-P 4 2 3'
_cell_length_a 5.116
_cell_length_b 5.116
_cell_length_c 5.116
_cell_angle_alpha 90.00
_cell_angle_beta 90.00
_cell_angle_gamma 90.00
loop_
_atom_site_label
_atom_site_fract_x
_atom_site_fract_y
_atom_site_fract_z
Fe1 0.000 0.000 0.000
Se1 0.500 0.500 0.500
Cl1 0.000 0.500 0.500
# mass density	2991	kg/m3
# total magnetic moment	4.34	μB per cell
# distance to the lowest polymorph of the same formula	157	kJ/mol of formula units
# raw formation energy	557	meV/atom

Entry 12:
# Ac2CoPt, relaxed, DFT PBE-GGA
data_Ac2CoPt
_chemical_formula_sum 'Ac2 Co1 Pt1'
_space_group_name_H-M_alt 'P 4/m m m'
_space_group_IT_number 123
_space_group_name_Hall '-P 4 2'
_cell_length_a 3.726
_cell_length_b 3.726
_cell_length_c 7.492
_cell_angle_alpha 90.00
_cell_angle_beta 90.00
_cell_angle_gamma 90.00
loop_
_atom_site_label
_atom_site_fract_x
_atom_site_fract_y
_atom_site_fract_z
Ac1 0.000 0.000 0.246
Co1 0.500 0.500 0.000
Pt1 0.500 0.500 0.500
# mass density	11302	kg/m3
# total magnetic moment	0.66	μB per cell
# energy of formation	-391	meV/atom

Entry 13:
# Ce4PBr2N, relaxed, DFT PBE-GGA
data_Ce4PBr2N
_chemical_formula_sum 'Ce4 P1 Br2 N1'
_space_group_name_H-M_alt 'P 1 2/m 1'
_space_group_IT_number 10
_space_group_name_Hall '-P 2y'
_cell_length_a 6.802
_cell_length_b 3.850
_cell_length_c 7.665
_cell_angle_alpha 90.00
_cell_angle_beta 106.72
_cell_angle_gamma 90.00
loop_
_atom_site_label
_atom_site_fract_x
_atom_site_fract_y
_atom_site_fract_z
Ce1 0.205 0.000 0.189
Ce2 0.236 0.500 0.801
P1 0.500 0.000 0.000
Br1 0.000 0.000 0.500
Br2 0.500 0.500 0.500
N1 0.000 0.500 0.000
# mass density	6611	kg/m3
# total magnetic moment	3.93	μB per cell
# raw formation energy	-1356	meV/atom

Entry 14:
# CsBa2Sn2, relaxed, DFT PBE-GGA
data_CsBa2Sn2
_chemical_formula_sum 'Cs2 Ba4 Sn4'
_space_group_name_H-M_alt 'P 4/m b m'
_space_group_IT_number 127
_space_group_name_Hall '-P 4 2ab'
_cell_length_a 9.896
_cell_length_b 9.896
_cell_length_c 4.296
_cell_angle_alpha 90.00
_cell_angle_beta 90.00
_cell_angle_gamma 90.00
loop_
_atom_site_label
_atom_site_fract_x
_atom_site_fract_y
_atom_site_fract_z
Cs1 0.000 0.000 0.000
Ba1 0.170 0.330 0.000
Sn1 0.116 0.616 0.500
# mass density	5092	kg/m3
# total magnetic moment	0.00	μB per cell
# distance to the lowest polymorph of the same formula	0	kJ/mol of formula units
# energy of formation	-376	meV/atom

Entry 15:
# KThTe4, relaxed, DFT PBE-GGA
data_KThTe4
_chemical_formula_sum 'K2 Th2 Te8'
_space_group_name_H-M_alt 'P 4/n b m'
_space_group_IT_number 125
_cell_length_a 6.986
_cell_length_b 6.986
_cell_length_c 8.941
_cell_angle_alpha 90.00
_cell_angle_beta 90.00
_cell_angle_gamma 90.00
loop_
_space_group_symop_operation_xyz
'x,y,z'
'-x,-y,-z'
'-y+1/2,x,z'
'y+1/2,-x,-z'
'-x+1/2,-y+1/2,z'
'x+1/2,y+1/2,-z'
'y,-x+1/2,z'
'-y,x+1/2,-z'
'x,-y+1/2,-z'
'-x,y+1/2,z'
'-y+1/2,-x+1/2,-z'
'y+1/2,x+1/2,z'
'-x+1/2,y,-z'
'x+1/2,-y,z'
'y,x,-z'
'-y,-x,z'
loop_
_atom_site_label
_atom_site_fract_x
_atom_site_fract_y
_atom_site_fract_z
K1 0.250 0.250 0.000
Th1 0.250 0.250 0.500
Te1 0.099 0.599 0.290
# mass density	5948	kg/m3
# total magnetic moment	0.00	μB per cell
# raw formation energy	-883	meV/atom

Entry 16:
# SrCrTcAs2, relaxed, DFT PBE-GGA
data_SrCrTcAs2
_chemical_formula_sum 'Sr1 Cr1 Tc1 As2'
_space_group_name_H-M_alt 'P 4/m m m'
_space_group_IT_number 123
_space_group_name_Hall '-P 4 2'
_cell_length_a 5.527
_cell_length_b 5.527
_cell_length_c 5.244
_cell_angle_alpha 90.00
_cell_angle_beta 90.00
_cell_angle_gamma 90.00
loop_
_atom_site_label
_atom_site_fract_x
_atom_site_fract_y
_atom_site_fract_z
Sr1 0.000 0.000 0.000
Cr1 0.500 0.500 0.500
Tc1 0.000 0.000 0.500
As1 0.000 0.500 0.000
# mass density	4016	kg/m3
# total magnetic moment	1.01	μB per cell
# energy of formation	1920	meV/atom

Entry 17:
# TaAsRh2, relaxed, DFT PBE-GGA
data_TaAsRh2
_chemical_formula_sum 'Ta1 As1 Rh2'
_space_group_name_H-M_alt 'P 1 2/m 1'
_space_group_IT_number 10
_space_group_name_Hall '-P 2y'
_cell_length_a 2.907
_cell_length_b 4.046
_cell_length_c 5.443
_cell_angle_alpha 90.00
_cell_angle_beta 103.86
_cell_angle_gamma 90.00
loop_
_atom_site_label
_atom_site_fract_x
_atom_site_fract_y
_atom_site_fract_z
Ta1 0.000 0.000 0.000
As1 0.000 0.000 0.500
Rh1 0.384 0.500 0.745
# mass density	12335	kg/m3
# total magnetic moment	0.00	μB per cell
# energy of formation	-362	meV/atom

Entry 18:
# KCdGaAu, relaxed, DFT PBE-GGA
data_KCdGaAu
_chemical_formula_sum 'K3 Cd3 Ga3 Au3'
_space_group_name_H-M_alt 'R 3 m'
_space_group_IT_number 160
_space_group_name_Hall 'R 3 -2"'
_cell_length_a 4.6304
_cell_length_b 4.6304
_cell_length_c 18.6772
_cell_angle_alpha 90.00
_cell_angle_beta 90.00
_cell_angle_gamma 120.00
loop_
_atom_site_label
_atom_site_fract_x
_atom_site_fract_y
_atom_site_fract_z
K1 0.0000 0.0000 0.0000
Cd1 0.0000 0.0000 0.1946
Ga1 0.0000 0.0000 0.7982
Au1 0.0000 0.0000 0.4747
# mass density	6007	kg/m3
# total magnetic moment	0.00	μB per cell
# energy of formation	-195	meV/atom

Entry 19:
# BiI2OF, relaxed, DFT PBE-GGA
data_BiI2OF
_chemical_formula_sum 'Bi1 I2 O1 F1'
_space_group_name_H-M_alt 'P 4/m m m'
_space_group_IT_number 123
_space_group_name_Hall '-P 4 2'
_cell_length_a 6.216
_cell_length_b 6.216
_cell_length_c 4.217
_cell_angle_alpha 90.00
_cell_angle_beta 90.00
_cell_angle_gamma 90.00
loop_
_atom_site_label
_atom_site_fract_x
_atom_site_fract_y
_atom_site_fract_z
Bi1 0.000 0.000 0.000
I1 0.000 0.500 0.000
O1 0.000 0.000 0.500
F1 0.500 0.500 0.500
# mass density	5073	kg/m3
# total magnetic moment	1.45	μB per cell
# distance to the lowest polymorph of the same formula	0	kJ/mol of formula units
# raw formation energy	-147	meV/atom

Entry 20:
# MnVNi6, relaxed, DFT PBE-GGA
data_MnVNi6
_chemical_formula_sum 'Mn1 V1 Ni6'
_space_group_name_H-M_alt 'P 4/m m m'
_space_group_IT_number 123
_space_group_name_Hall '-P 4 2'
_cell_length_a 3.564
_cell_length_b 3.564
_cell_length_c 7.122
_cell_angle_alpha 90.00
_cell_angle_beta 90.00
_cell_angle_gamma 90.00
loop_
_atom_site_label
_atom_site_fract_x
_atom_site_fract_y
_atom_site_fract_z
Mn1 0.000 0.000 0.000
V1 0.000 0.000 0.500
Ni1 0.000 0.500 0.256
Ni2 0.500 0.500 0.000
Ni3 0.500 0.500 0.500
# mass density	8407	kg/m3
# total magnetic moment	4.60	μB per cell
# distance to the lowest polymorph of the same formula	0	kJ/mol of formula units
# energy of formation	-181	meV/atom

Looking at uncorrected energy for the records above, in order, we have -61.6 -15.2 -14.5 -49.2 -38.3 -29.7 -18.4 -34.5 -38.0 -40.8 -14.7 -22.9 -51.7 -14.6 -26.4 -21.4 -32.7 -9.1 -14.5 -54.4 eV per formula unit.